# 1
Density functional theory data (PBE) for NaAgSe2N after structural relaxation.

The structure in CIF format:
```
data_NaAgSe2N
_symmetry_space_group_name_H-M 'P 1'
_symmetry_Int_Tables_number 1
_cell_length_a 5.221
_cell_length_b 5.221
_cell_length_c 4.411
_cell_angle_alpha 90.00
_cell_angle_beta 90.00
_cell_angle_gamma 90.00
loop_
_symmetry_equiv_pos_as_xyz
'x,y,z'
loop_
_atom_site_label
_atom_site_type_symbol
_atom_site_fract_x
_atom_site_fract_y
_atom_site_fract_z
_atom_site_occupancy
Na1 Na 0.000 0.000 0.000 1
Ag1 Ag 0.500 0.500 0.500 1
Se1 Se 0.000 0.500 0.000 1
Se2 Se 0.500 0.000 0.000 1
N1 N 0.000 0.000 0.500 1
```

## Properties
The value obtained for the excess energy over the best structure of this formula in the dataset is 12.79 kcal/mol of atoms. The symmetry is P4/mmm, No. 123. The calculation puts the energy relative to the elements, uncorrected at 1.26 eV per atom. For the uncorrected energy, the calculation gives -13.1 eV per cell. Its calculated volume is 24.049 Å³ per atom.


# 2
Density functional theory data (PBE) for ZrCoAg2 after structural relaxation.

The structure in CIF format:
```
data_ZrCoAg2
_symmetry_space_group_name_H-M 'P 1'
_symmetry_Int_Tables_number 1
_cell_length_a 4.588
_cell_length_b 4.588
_cell_length_c 4.588
_cell_angle_alpha 60.00
_cell_angle_beta 60.00
_cell_angle_gamma 60.00
loop_
_symmetry_equiv_pos_as_xyz
'x,y,z'
loop_
_atom_site_label
_atom_site_type_symbol
_atom_site_fract_x
_atom_site_fract_y
_atom_site_fract_z
_atom_site_occupancy
Zr1 Zr 0.000 0.000 0.000 1
Co1 Co 0.250 0.250 0.250 1
Ag1 Ag 0.500 0.500 0.500 1
Ag2 Ag 0.750 0.750 0.750 1
```

## Properties
The value obtained for the excess energy over the best structure of this formula in the dataset is 2.29 kcal/mol of atoms. The symmetry is F-43m, No. 216. For the uncorrected energy, the calculation gives -20.9 eV per cell. Its calculated volume is 17.070 Å³ per atom. The formation energy comes out at 0.11 eV per atom.


# 3
Density functional theory data (PBE) for FeCo3Ni6 after structural relaxation.

The structure in CIF format:
```
data_FeCo3Ni6
_symmetry_space_group_name_H-M 'P 1'
_symmetry_Int_Tables_number 1
_cell_length_a 7.902
_cell_length_b 7.902
_cell_length_c 4.332
_cell_angle_alpha 90.00
_cell_angle_beta 90.00
_cell_angle_gamma 122.05
loop_
_symmetry_equiv_pos_as_xyz
'x,y,z'
loop_
_atom_site_label
_atom_site_type_symbol
_atom_site_fract_x
_atom_site_fract_y
_atom_site_fract_z
_atom_site_occupancy
Fe1 Fe 0.214 0.786 0.500 1
Fe2 Fe 0.786 0.214 0.000 1
Co1 Co 0.060 0.267 0.702 1
Co2 Co 0.267 0.060 0.202 1
Co3 Co 0.396 0.604 0.569 1
Co4 Co 0.604 0.396 0.069 1
Co5 Co 0.733 0.940 0.702 1
Co6 Co 0.940 0.733 0.202 1
Ni1 Ni 0.041 0.454 0.310 1
Ni2 Ni 0.051 0.949 0.719 1
Ni3 Ni 0.291 0.382 0.123 1
Ni4 Ni 0.300 0.700 0.002 1
Ni5 Ni 0.382 0.291 0.623 1
Ni6 Ni 0.454 0.041 0.810 1
Ni7 Ni 0.546 0.959 0.310 1
Ni8 Ni 0.618 0.709 0.123 1
Ni9 Ni 0.700 0.300 0.502 1
Ni10 Ni 0.709 0.618 0.623 1
Ni11 Ni 0.949 0.051 0.219 1
Ni12 Ni 0.959 0.546 0.810 1
```

## Properties
The value obtained for the excess energy over the best structure of this formula in the dataset is 0.00 kcal/mol of atoms. The symmetry is Cmc2_1, No. 36. For the uncorrected energy, the calculation gives -125.3 eV per cell. Its calculated volume is 11.463 Å³ per atom. The formation energy comes out at 0.18 eV per atom.


# 4
Density functional theory data (PBE) for Cs3CaZr after structural relaxation.

The structure in CIF format:
```
data_Cs3CaZr
_symmetry_space_group_name_H-M 'P 1'
_symmetry_Int_Tables_number 1
_cell_length_a 6.967
_cell_length_b 6.967
_cell_length_c 6.967
_cell_angle_alpha 90.00
_cell_angle_beta 90.00
_cell_angle_gamma 90.00
loop_
_symmetry_equiv_pos_as_xyz
'x,y,z'
loop_
_atom_site_label
_atom_site_type_symbol
_atom_site_fract_x
_atom_site_fract_y
_atom_site_fract_z
_atom_site_occupancy
Cs1 Cs 0.000 0.000 0.500 1
Cs2 Cs 0.000 0.500 0.000 1
Cs3 Cs 0.500 0.000 0.000 1
Ca1 Ca 0.500 0.500 0.500 1
Zr1 Zr 0.000 0.000 0.000 1
```

## Properties
The symmetry is Pm-3m, No. 221. For the uncorrected energy, the calculation gives -7.8 eV per cell. Its calculated volume is 67.622 Å³ per atom. The formation energy comes out at 1.07 eV per atom.


# 5
Density functional theory data (PBE) for Tb4Te5C after structural relaxation.

The structure in CIF format:
```
data_Tb4Te5C
_symmetry_space_group_name_H-M 'P 1'
_symmetry_Int_Tables_number 1
_cell_length_a 9.208
_cell_length_b 9.208
_cell_length_c 8.446
_cell_angle_alpha 95.25
_cell_angle_beta 95.25
_cell_angle_gamma 25.03
loop_
_symmetry_equiv_pos_as_xyz
'x,y,z'
loop_
_atom_site_label
_atom_site_type_symbol
_atom_site_fract_x
_atom_site_fract_y
_atom_site_fract_z
_atom_site_occupancy
Tb1 Tb 0.014 0.014 0.299 1
Tb2 Tb 0.355 0.355 0.425 1
Tb3 Tb 0.645 0.645 0.575 1
Tb4 Tb 0.986 0.986 0.701 1
Te1 Te 0.149 0.149 0.853 1
Te2 Te 0.182 0.182 0.318 1
Te3 Te 0.500 0.500 0.000 1
Te4 Te 0.818 0.818 0.682 1
Te5 Te 0.851 0.851 0.147 1
C1 C 0.500 0.500 0.500 1
```

## Properties
The symmetry is C2/m, No. 12. The calculation puts the energy relative to the elements, uncorrected at -0.91 eV per atom. For the uncorrected energy, the calculation gives -52.5 eV per cell. Its calculated volume is 30.165 Å³ per atom.


# 6
Density functional theory data (PBE) for ZrTl3Bi2Se6 after structural relaxation.

The structure in CIF format:
```
data_ZrTl3Bi2Se6
_symmetry_space_group_name_H-M 'P 1'
_symmetry_Int_Tables_number 1
_cell_length_a 7.289
_cell_length_b 7.289
_cell_length_c 8.074
_cell_angle_alpha 98.55
_cell_angle_beta 98.55
_cell_angle_gamma 119.28
loop_
_symmetry_equiv_pos_as_xyz
'x,y,z'
loop_
_atom_site_label
_atom_site_type_symbol
_atom_site_fract_x
_atom_site_fract_y
_atom_site_fract_z
_atom_site_occupancy
Zr1 Zr 0.000 0.000 0.000 1
Tl1 Tl 0.169 0.831 0.500 1
Tl2 Tl 0.500 0.500 0.500 1
Tl3 Tl 0.831 0.169 0.500 1
Bi1 Bi 0.334 0.666 0.000 1
Bi2 Bi 0.666 0.334 0.000 1
Se1 Se 0.066 0.378 0.203 1
Se2 Se 0.240 0.240 0.793 1
Se3 Se 0.378 0.066 0.203 1
Se4 Se 0.622 0.934 0.797 1
Se5 Se 0.760 0.760 0.207 1
Se6 Se 0.934 0.622 0.797 1
```

## Properties
The symmetry is C2/m, No. 12. The calculation puts the energy relative to the elements, uncorrected at -0.60 eV per atom. For the uncorrected energy, the calculation gives -51.5 eV per cell. Its calculated volume is 29.799 Å³ per atom.


# 7
Density functional theory data (PBE) for Li2ZnNi after structural relaxation.

The structure in CIF format:
```
data_Li2ZnNi
_symmetry_space_group_name_H-M 'P 1'
_symmetry_Int_Tables_number 1
_cell_length_a 2.766
_cell_length_b 2.766
_cell_length_c 7.441
_cell_angle_alpha 90.00
_cell_angle_beta 90.00
_cell_angle_gamma 90.00
loop_
_symmetry_equiv_pos_as_xyz
'x,y,z'
loop_
_atom_site_label
_atom_site_type_symbol
_atom_site_fract_x
_atom_site_fract_y
_atom_site_fract_z
_atom_site_occupancy
Li1 Li 0.000 0.000 0.000 1
Li2 Li 0.500 0.500 0.315 1
Zn1 Zn 0.500 0.500 0.744 1
Ni1 Ni 0.000 0.000 0.538 1
```

## Properties
The symmetry is P4mm, No. 99. For the uncorrected energy, the calculation gives -11.2 eV per cell. Its calculated volume is 14.232 Å³ per atom. The formation energy comes out at -0.09 eV per atom.


# 8
Density functional theory data (PBE) for Be2ReAuC after structural relaxation.

The structure in CIF format:
```
data_Be2ReAuC
_symmetry_space_group_name_H-M 'P 1'
_symmetry_Int_Tables_number 1
_cell_length_a 3.706
_cell_length_b 3.706
_cell_length_c 4.595
_cell_angle_alpha 90.00
_cell_angle_beta 90.00
_cell_angle_gamma 90.00
loop_
_symmetry_equiv_pos_as_xyz
'x,y,z'
loop_
_atom_site_label
_atom_site_type_symbol
_atom_site_fract_x
_atom_site_fract_y
_atom_site_fract_z
_atom_site_occupancy
Be1 Be 0.000 0.500 0.000 1
Be2 Be 0.500 0.000 0.000 1
Re1 Re 0.000 0.000 0.500 1
Au1 Au 0.500 0.500 0.500 1
C1 C 0.500 0.500 0.000 1
```

## Properties
The symmetry is P4/mmm, No. 123. For the uncorrected energy, the calculation gives -26.7 eV per cell. Its calculated volume is 12.623 Å³ per atom. The formation energy comes out at 1.15 eV per atom.


# 9
Density functional theory data (PBE) for In7GaBi4 after structural relaxation.

The structure in CIF format:
```
data_In7GaBi4
_symmetry_space_group_name_H-M 'P 1'
_symmetry_Int_Tables_number 1
_cell_length_a 8.149
_cell_length_b 8.149
_cell_length_c 10.702
_cell_angle_alpha 123.48
_cell_angle_beta 123.48
_cell_angle_gamma 40.85
loop_
_symmetry_equiv_pos_as_xyz
'x,y,z'
loop_
_atom_site_label
_atom_site_type_symbol
_atom_site_fract_x
_atom_site_fract_y
_atom_site_fract_z
_atom_site_occupancy
In1 In 0.000 0.000 0.000 1
In2 In 0.133 0.133 0.843 1
In3 In 0.287 0.287 0.726 1
In4 In 0.449 0.449 0.599 1
In5 In 0.551 0.551 0.401 1
In6 In 0.713 0.713 0.274 1
In7 In 0.867 0.867 0.157 1
Ga1 Ga 0.500 0.500 0.000 1
Bi1 Bi 0.127 0.127 0.370 1
Bi2 Bi 0.292 0.292 0.213 1
Bi3 Bi 0.708 0.708 0.787 1
Bi4 Bi 0.873 0.873 0.630 1
```

## Properties
The symmetry is C2/m, No. 12. For the uncorrected energy, the calculation gives -36.7 eV per cell. Its calculated volume is 31.315 Å³ per atom. The formation energy comes out at 0.09 eV per atom.


# 10
Density functional theory data (PBE) for Ta2Nb8Pd3 after structural relaxation.

The structure in CIF format:
```
data_Ta2Nb8Pd3
_symmetry_space_group_name_H-M 'P 1'
_symmetry_Int_Tables_number 1
_cell_length_a 7.152
_cell_length_b 7.152
_cell_length_c 5.191
_cell_angle_alpha 109.61
_cell_angle_beta 109.61
_cell_angle_gamma 83.56
loop_
_symmetry_equiv_pos_as_xyz
'x,y,z'
loop_
_atom_site_label
_atom_site_type_symbol
_atom_site_fract_x
_atom_site_fract_y
_atom_site_fract_z
_atom_site_occupancy
Ta1 Ta 0.207 0.207 0.359 1
Ta2 Ta 0.793 0.793 0.641 1
Nb1 Nb 0.082 0.082 0.784 1
Nb2 Nb 0.084 0.576 0.329 1
Nb3 Nb 0.357 0.357 0.919 1
Nb4 Nb 0.424 0.916 0.671 1
Nb5 Nb 0.576 0.084 0.329 1
Nb6 Nb 0.643 0.643 0.081 1
Nb7 Nb 0.916 0.424 0.671 1
Nb8 Nb 0.918 0.918 0.216 1
Pd1 Pd 0.234 0.766 0.000 1
Pd2 Pd 0.500 0.500 0.500 1
Pd3 Pd 0.766 0.234 0.000 1
```

## Properties
The symmetry is C2/m, No. 12. For the uncorrected energy, the calculation gives -118.4 eV per cell. Its calculated volume is 18.126 Å³ per atom. The formation energy comes out at 0.11 eV per atom.